MgPdSO: relaxed, GGA-PBE.

```
data_MgPdSO
_chemical_formula_sum 'Mg2 Pd2 S2 O2'
_cell_length_a 3.7519
_cell_length_b 3.7519
_cell_length_c 8.5584
_cell_angle_alpha 90.00
_cell_angle_beta 90.00
_cell_angle_gamma 90.00
_space_group_name_H-M_alt 'P 4/n m m'
_space_group_IT_number 129
loop_
_space_group_symop_operation_xyz
'x,y,z'
'-x,-y,-z'
'-y+1/2,x,z'
'y+1/2,-x,-z'
'-x+1/2,-y+1/2,z'
'x+1/2,y+1/2,-z'
'y,-x+1/2,z'
'-y,x+1/2,-z'
'x+1/2,-y,-z'
'-x+1/2,y,z'
'-y,-x,-z'
'y,x,z'
'-x,y+1/2,-z'
'x,-y+1/2,z'
'y+1/2,x+1/2,-z'
'-y+1/2,-x+1/2,z'
loop_
_atom_site_label
_atom_site_type_symbol
_atom_site_fract_x
_atom_site_fract_y
_atom_site_fract_z
Mg1 Mg 0.2500 0.2500 0.0546
Pd1 Pd 0.2500 0.2500 0.6430
S1 S 0.2500 0.2500 0.3666
O1 O 0.2500 0.7500 0.0000
```

Computed properties:
V, A^3/atom: 15.1
E_tot, Ha/atom: -0.184